VASP calculation (PBE with a Hubbard U) on a geometry-optimized K3MoO3 structure.

Calculated values
Space-group type ... C2/m, No. 12
Raw total energy ... -69.70 eV for the cell shown

Lattice parameters (Å, degrees): 6.5593 6.5593 7.9497 90.35 90.35 102.79
Last column: nearest neighbours and their distance in Å.
Fractional positions:
1 K 0.2021 0.7979 0.0000  4 O 2.64-2.89
2 K 0.2029 0.7971 0.5000  4 O 2.64-2.89
3 K 0.3170 0.3170 0.7522  3 O 2.79-2.89
4 K 0.6830 0.6830 0.2478  3 O 2.79-2.89
5 K 0.7971 0.2029 0.5000  4 O 2.64-2.89
6 K 0.7979 0.2021 0.0000  4 O 2.64-2.89
7 Mo 0.2622 0.2622 0.2503  3 O 1.85-1.89
8 Mo 0.7378 0.7378 0.7497  3 O 1.85-1.89
9 O 0.0361 0.0361 0.2512  1 Mo 1.85
10 O 0.2482 0.5470 0.2483  1 Mo 1.89
11 O 0.4530 0.7518 0.7517  1 Mo 1.89
12 O 0.5470 0.2482 0.2483  1 Mo 1.89
13 O 0.7518 0.4530 0.7517  1 Mo 1.89
14 O 0.9639 0.9639 0.7488  1 Mo 1.85